# RbErCoO3 | the Open Quantum Materials Database | PBE with a Hubbard U | optimized geometry
data_RbErCoO3
_chemical_formula_sum 'Rb4 Er4 Co4 O12'
_space_group_name_H-M_alt 'C m c m'
_space_group_IT_number 63
_space_group_name_Hall '-C 2c 2'
_cell_length_a 3.473
_cell_length_b 12.489
_cell_length_c 8.989
_cell_angle_alpha 90.00
_cell_angle_beta 90.00
_cell_angle_gamma 90.00
loop_
_atom_site_label
_atom_site_type_symbol
_atom_site_fract_x
_atom_site_fract_y
_atom_site_fract_z
_atom_site_occupancy
Rb1 Rb 0.000 0.221 0.250 1
Er1 Er 0.000 0.500 0.000 1
Co1 Co 0.000 0.056 0.750 1
O1 O 0.000 0.110 0.552 1
O2 O 0.000 0.468 0.750 1
# Uncorrected energy in eV per atom: -6.37
# Magnetic moment in Bohr magnetons per cell: 12.00
# Crystal system: orthorhombic
# Mass density in g/cm3: 6.127